First-principles (GGA-PBE) data for crystalline SmEu2Hg at its relaxed geometry, as listed in Alexandria.

Summary:
DFT formation energy in meV per atom: -202.9
V in Å³/atom: 33.7
Polymorph energy (0 for the lowest one) in meV/atom: 0

a = 3.8073 Å, b = 3.8073 Å, c = 9.2975 Å
α = 90.00°, β = 90.00°, γ = 90.00°
Closest atoms and distances in Å follow each position.
Fractional positions:
Eu  0.0000  0.0000  0.2111  4 Hg 3.33
Eu  0.0000  0.0000  0.7889  4 Hg 3.33
Hg  0.5000  0.5000  0.0000  8 Eu 3.33
Sm  0.5000  0.5000  0.5000  8 Eu 3.80, 4 Sm 3.81